No. 1
Density functional theory data (PBE-GGA) for crystalline Li4Tl2Zn3 at its relaxed geometry.

Properties
Total DFT energy (no corrections) = -1.950 eV/atom
ΔH_f (0 K) = -1.340 eV/f.u.

a b c (Å): 8.075 4.549 8.621
angles (deg): 90.00 91.70 90.00
Space group C2/m (No. 12)
One atom of each set of equivalent atoms:
Li 0.003 0.000 0.339 [4 per cell]
Li 0.164 0.500 0.880 [4 per cell]
Tl 0.170 0.500 0.207 [4 per cell]
Zn 0.000 0.000 0.000 [2 per cell]
Zn 0.165 0.500 0.538 [4 per cell]

=====

No. 2
Density functional theory data (PBE-GGA) for crystalline V3CuAs at its relaxed geometry.

Properties
Total DFT energy (no corrections) = -6.188 eV/atom
Offset from the most stable computed form = 0.69 eV per formula unit
ΔH_f (0 K) = 5.163 eV/f.u.

a b c (Å): 4.460 4.460 4.460
angles (deg): 90.00 90.00 90.00
Space group Pm-3m (No. 221)
One atom of each set of equivalent atoms:
V 0.000 0.000 0.500 [3 per cell]
Cu 0.000 0.000 0.000 [1 per cell]
As 0.500 0.500 0.500 [1 per cell]